Below is ZnMo3N after structural relaxation, with properties calculated at the GGA-PBEsol level.

Unit cell a=4.055 b=4.055 c=4.055 alpha=90.00 beta=90.00 gamma=90.00
Positions (direct):
Zn1 0.000 0.000 0.000
Mo1 0.000 0.500 0.500
Mo2 0.500 0.000 0.500
Mo3 0.500 0.500 0.000
N1 0.500 0.500 0.500

Properties
**D(E_F)**: 0.603 states/eV per atom
**SG**: Pm-3m (221)
**E_form (uncorrected)**: -0.178 eV/atom
**Magnetic moment**: 0.00 μB per atom
**Uncorrected energy**: -46.30 eV for the cell shown

***

Below is ZrMo3N after structural relaxation, with properties calculated at the GGA-PBEsol level.

Unit cell a=4.166 b=4.166 c=4.166 alpha=90.00 beta=90.00 gamma=90.00
Positions (direct):
Zr1 0.000 0.000 0.000
Mo1 0.000 0.500 0.500
Mo2 0.500 0.000 0.500
Mo3 0.500 0.500 0.000
N1 0.500 0.500 0.500

Properties
**D(E_F)**: 1.119 states/eV per atom
**SG**: Pm-3m (221)
**E_form (uncorrected)**: -0.273 eV/atom
**Magnetic moment**: 0.00 μB per atom
**Uncorrected energy**: -54.29 eV for the cell shown